1.
Entry from the Alexandria database: a relaxed structure of Te2MoPtF (PBE with a Hubbard U).

Unit cell a=5.228 b=5.228 c=4.095 alpha=90.00 beta=90.00 gamma=90.00
Atoms (fractional coordinates):
Te: 0.000 0.500 0.000
Te: 0.500 0.000 0.000
Mo: 0.000 0.000 0.500
Pt: 0.500 0.500 0.500
F: 0.000 0.000 0.000

## Properties
The space group is No. 123. The value obtained for the electronic total energy is -19.8 eV/f.u. For the mass density, the calculation gives 8.39 g/cm³. Its crystal system is tetragonal.

2.
Entry from the Alexandria database: a relaxed structure of TlMoPt2F (PBE with a Hubbard U).

Unit cell a=5.126 b=5.126 c=4.433 alpha=90.00 beta=90.00 gamma=90.00
Atoms (fractional coordinates):
Tl: 0.000 0.000 0.000
Mo: 0.500 0.500 0.500
Pt: 0.000 0.500 0.000
Pt: 0.500 0.000 0.000
F: 0.000 0.000 0.500

## Properties
The space group is No. 123. The value obtained for the electronic total energy is -20.1 eV/f.u. For the mass density, the calculation gives 10.12 g/cm³. Its crystal system is tetragonal.

3.
Entry from the Alexandria database: a relaxed structure of TlMo2PtF (PBE with a Hubbard U).

Unit cell a=5.547 b=5.547 c=4.412 alpha=90.00 beta=90.00 gamma=90.00
Atoms (fractional coordinates):
Tl: 0.000 0.000 0.000
Mo: 0.000 0.500 0.000
Mo: 0.500 0.000 0.000
Pt: 0.500 0.500 0.500
F: 0.000 0.000 0.500

## Properties
The space group is No. 123. The value obtained for the electronic total energy is -18.8 eV/f.u. For the mass density, the calculation gives 7.47 g/cm³. Its crystal system is tetragonal.